Entry 1:
Material: CrOsBr
Method: DFT, PBE-GGA
State: relaxed

The structure in CIF format:
```
data_CrOsBr
_chemical_formula_sum 'Cr1 Os1 Br1'
_symmetry_space_group_name_H-M 'P 3 m 1'
_symmetry_Int_Tables_number 156
_cell_length_a 2.9063
_cell_length_b 2.9063
_cell_length_c 6.4727
_cell_angle_alpha 90.00
_cell_angle_beta 90.00
_cell_angle_gamma 120.00
loop_
_symmetry_equiv_pos_as_xyz
'x,y,z'
'-y,x-y,z'
'-x+y,-x,z'
'-y,-x,z'
'-x+y,y,z'
'x,x-y,z'
loop_
_atom_site_label
_atom_site_type_symbol
_atom_site_fract_x
_atom_site_fract_y
_atom_site_fract_z
Cr1 Cr 0.0000 0.0000 0.0000
Os1 Os 0.6667 0.3333 0.2889
Br1 Br 0.3333 0.6667 0.7111
```

Summary:
Relative energy among the computed polymorphs = 0.000 eV/atom
N(E_F) = 1.603 states/eV per cell
Total magnetization = 0.0000 μB/atom



Entry 2:
Material: CrOsBr2
Method: DFT, PBE-GGA
State: relaxed

The structure in CIF format:
```
data_CrOsBr2
_chemical_formula_sum 'Cr4 Os4 Br8'
_symmetry_space_group_name_H-M 'F m -3 m'
_symmetry_Int_Tables_number 225
_symmetry_space_group_name_Hall '-F 4 2 3'
_cell_length_a 6.3396
_cell_length_b 6.3396
_cell_length_c 6.3396
_cell_angle_alpha 90.00
_cell_angle_beta 90.00
_cell_angle_gamma 90.00
loop_
_atom_site_label
_atom_site_type_symbol
_atom_site_fract_x
_atom_site_fract_y
_atom_site_fract_z
Cr1 Cr 0.0000 0.0000 0.0000
Os1 Os 0.0000 0.0000 0.5000
Br1 Br 0.2500 0.2500 0.2500
```

Summary:
Relative energy among the computed polymorphs = 1.215 eV/atom
N(E_F) = 23.885 states/eV per cell
Total magnetization = 0.0000 μB/atom



Entry 3:
Material: Cr2OsBr
Method: DFT, PBE-GGA
State: relaxed

The structure in CIF format:
```
data_Cr2OsBr
_chemical_formula_sum 'Cr8 Os4 Br4'
_symmetry_space_group_name_H-M 'F -4 3 m'
_symmetry_Int_Tables_number 216
_symmetry_space_group_name_Hall 'F -4 2 3'
_cell_length_a 6.1633
_cell_length_b 6.1633
_cell_length_c 6.1633
_cell_angle_alpha 90.00
_cell_angle_beta 90.00
_cell_angle_gamma 90.00
loop_
_atom_site_label
_atom_site_type_symbol
_atom_site_fract_x
_atom_site_fract_y
_atom_site_fract_z
Cr1 Cr 0.0000 0.0000 0.0000
Cr2 Cr 0.2500 0.2500 0.2500
Os1 Os 0.0000 0.0000 0.5000
Br1 Br 0.2500 0.2500 0.7500
```

Summary:
Relative energy among the computed polymorphs = 0.517 eV/atom
N(E_F) = 16.336 states/eV per cell
Total magnetization = 0.2732 μB/atom



Entry 4:
Material: CrOsBr
Method: DFT, PBE-GGA
State: relaxed

The structure in CIF format:
```
data_CrOsBr
_chemical_formula_sum 'Cr4 Os4 Br4'
_symmetry_space_group_name_H-M 'F -4 3 m'
_symmetry_Int_Tables_number 216
_symmetry_space_group_name_Hall 'F -4 2 3'
_cell_length_a 6.0289
_cell_length_b 6.0289
_cell_length_c 6.0289
_cell_angle_alpha 90.00
_cell_angle_beta 90.00
_cell_angle_gamma 90.00
loop_
_atom_site_label
_atom_site_type_symbol
_atom_site_fract_x
_atom_site_fract_y
_atom_site_fract_z
Cr1 Cr 0.0000 0.0000 0.0000
Os1 Os 0.2500 0.2500 0.7500
Br1 Br 0.0000 0.0000 0.5000
```

Summary:
Relative energy among the computed polymorphs = 0.412 eV/atom
N(E_F) = 8.163 states/eV per cell
Total magnetization = 0.8078 μB/atom



Entry 5:
Material: CrOsBr2
Method: DFT, PBE-GGA
State: relaxed

The structure in CIF format:
```
data_CrOsBr2
_chemical_formula_sum 'Cr1 Os1 Br2'
_symmetry_space_group_name_H-M 'P m m m'
_symmetry_Int_Tables_number 47
_cell_length_a 3.1107
_cell_length_b 4.2838
_cell_length_c 5.8860
_cell_angle_alpha 90.00
_cell_angle_beta 90.00
_cell_angle_gamma 90.00
loop_
_symmetry_equiv_pos_as_xyz
'x,y,z'
'-x,-y,-z'
'-x,-y,z'
'x,y,-z'
'x,-y,-z'
'-x,y,z'
'-x,y,-z'
'x,-y,z'
loop_
_atom_site_label
_atom_site_type_symbol
_atom_site_fract_x
_atom_site_fract_y
_atom_site_fract_z
Cr1 Cr 0.0000 0.0000 0.0000
Os1 Os 0.5000 0.0000 0.5000
Br1 Br 0.0000 0.5000 0.5000
Br2 Br 0.5000 0.5000 0.0000
```

Summary:
Relative energy among the computed polymorphs = 0.779 eV/atom
N(E_F) = 3.036 states/eV per cell
Total magnetization = 0.8072 μB/atom



Entry 6:
Material: CrOsBr2
Method: DFT, PBE-GGA
State: relaxed

The structure in CIF format:
```
data_CrOsBr2
_chemical_formula_sum 'Cr2 Os2 Br4'
_symmetry_space_group_name_H-M 'I -4 m 2'
_symmetry_Int_Tables_number 119
_symmetry_space_group_name_Hall 'I -4 -2'
_cell_length_a 3.7788
_cell_length_b 3.7788
_cell_length_c 11.2602
_cell_angle_alpha 90.00
_cell_angle_beta 90.00
_cell_angle_gamma 90.00
loop_
_atom_site_label
_atom_site_type_symbol
_atom_site_fract_x
_atom_site_fract_y
_atom_site_fract_z
Cr1 Cr 0.0000 0.0000 0.0000
Os1 Os 0.0000 0.5000 0.7500
Br1 Br 0.0000 0.0000 0.5000
Br2 Br 0.0000 0.5000 0.2500
```

Summary:
Relative energy among the computed polymorphs = 0.935 eV/atom
N(E_F) = 9.759 states/eV per cell
Total magnetization = 0.5936 μB/atom



Entry 7:
Material: CrOsBr2
Method: DFT, PBE-GGA
State: relaxed

The structure in CIF format:
```
data_CrOsBr2
_chemical_formula_sum 'Cr4 Os4 Br8'
_symmetry_space_group_name_H-M 'I -4 2 d'
_symmetry_Int_Tables_number 122
_symmetry_space_group_name_Hall 'I -4 2bw'
_cell_length_a 5.5544
_cell_length_b 5.5544
_cell_length_c 10.9266
_cell_angle_alpha 90.00
_cell_angle_beta 90.00
_cell_angle_gamma 90.00
loop_
_atom_site_label
_atom_site_type_symbol
_atom_site_fract_x
_atom_site_fract_y
_atom_site_fract_z
Cr1 Cr 0.0000 0.0000 0.0000
Os1 Os 0.0000 0.0000 0.5000
Br1 Br 0.2351 0.2500 0.1250
```

Summary:
Relative energy among the computed polymorphs = 1.169 eV/atom
N(E_F) = 19.857 states/eV per cell
Total magnetization = 0.0001 μB/atom



Entry 8:
Material: CrOsBr2
Method: DFT, PBE-GGA
State: relaxed

The structure in CIF format:
```
data_CrOsBr2
_chemical_formula_sum 'Cr2 Os2 Br4'
_symmetry_space_group_name_H-M 'I m m 2'
_symmetry_Int_Tables_number 44
_cell_length_a 3.0936
_cell_length_b 3.2584
_cell_length_c 18.1367
_cell_angle_alpha 90.00
_cell_angle_beta 90.00
_cell_angle_gamma 90.00
loop_
_symmetry_equiv_pos_as_xyz
'x,y,z'
'-x,-y,z'
'-x,y,z'
'x,-y,z'
'x+1/2,y+1/2,z+1/2'
'-x+1/2,-y+1/2,z+1/2'
'-x+1/2,y+1/2,z+1/2'
'x+1/2,-y+1/2,z+1/2'
loop_
_atom_site_label
_atom_site_type_symbol
_atom_site_fract_x
_atom_site_fract_y
_atom_site_fract_z
Cr1 Cr 0.0000 0.0000 0.0000
Os1 Os 0.0000 0.5000 0.0843
Br1 Br 0.0000 0.0000 0.4095
Br2 Br 0.0000 0.5000 0.6861
```

Summary:
Relative energy among the computed polymorphs = 0.307 eV/atom
N(E_F) = 4.367 states/eV per cell
Total magnetization = 0.0000 μB/atom



| no. | formation energy without anion corrections (eV per atom) |
| --- | --- |
| 1 | 0.66 |
| 2 | 1.43 |
| 3 | 1.08 |
| 4 | 1.07 |
| 5 | 1.00 |
| 6 | 1.15 |
| 7 | 1.39 |
| 8 | 0.52 |